Entry from Alexandria: crystalline HPbSe2 at its relaxed geometry (PBE).

a b c (Å): 4.4063 6.1052 8.2283
angles (deg): 101.11 90.71 90.04
Space group P1 (No. 1)
Unique sites:
H  0.0000  0.0000  0.0000 [1 per cell]
H  0.1753  0.4325  0.3397 [1 per cell]
Pb  0.6653  0.5033  0.0104 [1 per cell]
Pb  0.6920  0.8207  0.5879 [1 per cell]
Se  0.1619  0.4927  0.7433 [1 per cell]
Se  0.1725  0.6502  0.2805 [1 per cell]
Se  0.1803  0.1424  0.5505 [1 per cell]
Se  0.6684  0.9813  0.9645 [1 per cell]

Properties
For the total energy, the calculation gives -15.05 eV per formula unit. For the magnetization, the calculation gives 0.000 μB per atom. As for the calculated volume: 27.15 A^3/atom.